Record 1
First-principles (PBE-GGA) data for a relaxed ZrU5C6 crystal, as listed in the Alexandria database.

Computed properties:
E_tot = -10.27 eV/atom
Energy relative to the elements = -0.247 eV per atom

Lattice parameters (Å, degrees): 6.0102 6.0102 6.0029 99.54 99.54 120.05
Closest atoms and distances in Å follow each position.
Sites, in units of the cell vectors:
1 Zr 0.0000 0.0000 0.0000  6 C 2.41
2 U 0.1660 0.8340 0.5000  6 C 2.44-2.50
3 U 0.3334 0.6666 0.0000  6 C 2.45-2.46
4 U 0.5000 0.5000 0.5000  6 C 2.46-2.48
5 U 0.6666 0.3334 0.0000  6 C 2.45-2.46
6 U 0.8340 0.1660 0.5000  6 C 2.44-2.50
7 C 0.0808 0.4092 0.2444  1 Zr 2.41, 5 U 2.45-2.50
8 C 0.2452 0.2452 0.7524  1 Zr 2.41, 5 U 2.44-2.48
9 C 0.4092 0.0808 0.2444  1 Zr 2.41, 5 U 2.45-2.50
10 C 0.5908 0.9192 0.7556  1 Zr 2.41, 5 U 2.45-2.50
11 C 0.7548 0.7548 0.2476  1 Zr 2.41, 5 U 2.44-2.48
12 C 0.9192 0.5908 0.7556  1 Zr 2.41, 5 U 2.45-2.50

Record 2
First-principles (PBE-GGA) data for a relaxed V6C5 crystal, as listed in the Alexandria database.

Computed properties:
E_tot = -9.71 eV/atom
Energy relative to the elements = -0.548 eV per atom

Lattice parameters (Å, degrees): 5.1038 5.1038 14.3817 90.00 90.00 120.00
Closest atoms and distances in Å follow each position.
Sites, in units of the cell vectors:
1 V 0.0841 0.1959 0.4186  5 C 1.97-2.13
2 V 0.0841 0.8882 0.5814  5 C 1.97-2.13
3 V 0.0866 0.5312 0.7568  5 C 1.92-2.09
4 V 0.0866 0.5554 0.2432  5 C 1.92-2.09
5 V 0.1118 0.1959 0.9147  5 C 1.97-2.13
6 V 0.1118 0.9159 0.0853  5 C 1.97-2.13
7 V 0.4439 0.1947 0.2489  5 C 1.98-2.13
8 V 0.4439 0.2492 0.7511  5 C 1.98-2.13
9 V 0.4446 0.5312 0.5765  5 C 1.92-2.09
10 V 0.4446 0.9134 0.4235  5 C 1.92-2.09
11 V 0.4688 0.5554 0.0901  5 C 1.92-2.09
12 V 0.4688 0.9134 0.9099  5 C 1.92-2.09
13 V 0.7508 0.1947 0.0844  5 C 1.98-2.13
14 V 0.7508 0.5561 0.9156  5 C 1.98-2.13
15 V 0.8041 0.8882 0.7519  5 C 1.97-2.13
16 V 0.8041 0.9159 0.2481  5 C 1.97-2.13
17 V 0.8053 0.2492 0.5823  5 C 1.98-2.13
18 V 0.8053 0.5561 0.4177  5 C 1.98-2.13
19 C 0.1128 0.2256 0.6667  6 V 2.03-2.08
20 C 0.1128 0.8872 0.3333  6 V 2.03-2.08
21 C 0.1138 0.2277 0.1667  6 V 1.97-2.13
22 C 0.1138 0.8862 0.8333  6 V 1.97-2.13
23 C 0.1174 0.5587 0.5000  6 V 1.98-2.12
24 C 0.4413 0.5587 0.8333  6 V 1.98-2.12
25 C 0.4413 0.8826 0.1667  6 V 1.98-2.12
26 C 0.4419 0.2209 0.0000  6 V 2.04-2.09
27 C 0.4450 0.2225 0.5000  6 V 1.92-2.13
28 C 0.7723 0.8862 0.5000  6 V 1.97-2.13
29 C 0.7744 0.8872 0.0000  6 V 2.03-2.08
30 C 0.7775 0.2225 0.8333  6 V 1.92-2.13
31 C 0.7775 0.5550 0.1667  6 V 1.92-2.13
32 C 0.7791 0.2209 0.3333  6 V 2.04-2.09
33 C 0.7791 0.5581 0.6667  6 V 2.04-2.09

Record 3
First-principles (PBE-GGA) data for a relaxed V2C crystal, as listed in the Alexandria database.

Computed properties:
E_tot = -9.61 eV/atom
Energy relative to the elements = -0.457 eV per atom

Lattice parameters (Å, degrees): 2.8950 2.8950 4.5250 90.00 90.00 120.00
Closest atoms and distances in Å follow each position.
Sites, in units of the cell vectors:
1 V 0.3333 0.6667 0.2536  3 C 2.03
2 V 0.6667 0.3333 0.7464  3 C 2.03
3 C 0.0000 0.0000 0.0000  6 V 2.03

Record 4
First-principles (PBE-GGA) data for a relaxed V3C crystal, as listed in the Alexandria database.

Computed properties:
E_tot = -9.18 eV/atom
Energy relative to the elements = -0.032 eV per atom
Polymorph energy (0 for the lowest one) = 27.62 kJ/mol of atoms

Lattice parameters (Å, degrees): 4.3807 4.3807 4.3807 141.84 77.51 115.47
Closest atoms and distances in Å follow each position.
Sites, in units of the cell vectors:
1 V 0.0000 0.0000 0.0000  2 C 2.04
2 V 0.3411 0.5318 0.8093  2 C 2.20
3 V 0.7226 0.5318 0.1907  2 C 2.20
4 C 0.3097 0.8097 0.5000  6 V 2.04-2.20

Record 5
First-principles (PBE-GGA) data for a relaxed V5C crystal, as listed in the Alexandria database.

Computed properties:
E_tot = -8.95 eV/atom
Energy relative to the elements = 0.185 eV per atom

Lattice parameters (Å, degrees): 6.1278 6.1278 3.0355 90.00 90.00 141.54
Closest atoms and distances in Å follow each position.
Sites, in units of the cell vectors:
1 V 0.0000 0.0000 0.0000  8 V 2.42-2.63, 4 C 2.53
2 V 0.1625 0.8375 0.5000  8 V 2.42-2.68
3 V 0.3537 0.6463 0.0000  2 C 2.27, 4 V 2.53
4 V 0.6463 0.3537 0.0000  2 C 2.27, 4 V 2.53
5 V 0.8375 0.1625 0.5000  8 V 2.42-2.68
6 C 0.5000 0.5000 0.5000  8 V 2.27-2.53

Record 6
First-principles (PBE-GGA) data for a relaxed VC crystal, as listed in the Alexandria database.

Computed properties:
E_tot = -9.49 eV/atom
Energy relative to the elements = -0.321 eV per atom

Lattice parameters (Å, degrees): 3.4615 3.4615 4.0900 90.00 90.00 120.00
Closest atoms and distances in Å follow each position.
Sites, in units of the cell vectors:
1 V 0.3333 0.6667 0.2500  5 C 2.00-2.04
2 V 0.6667 0.3333 0.7500  5 C 2.00-2.04
3 C 0.3333 0.6667 0.7500  5 V 2.00-2.04
4 C 0.6667 0.3333 0.2500  5 V 2.00-2.04

Record 7
First-principles (PBE-GGA) data for a relaxed V3C crystal, as listed in the Alexandria database.

Computed properties:
E_tot = -9.45 eV/atom
Energy relative to the elements = -0.302 eV per atom
Polymorph energy (0 for the lowest one) = 1.59 kJ/mol of atoms

Lattice parameters (Å, degrees): 8.7847 8.7847 4.4789 90.00 90.00 90.00
Closest atoms and distances in Å follow each position.
Sites, in units of the cell vectors:
1 V 0.0367 0.5689 0.2246  3 C 2.16-2.35
2 V 0.0689 0.9633 0.7246  3 C 2.16-2.35
3 V 0.1123 0.2238 0.0166  4 C 2.23-2.43, 2 V 2.46-2.49
4 V 0.1427 0.6624 0.7010  2 C 2.21-2.23, 2 V 2.43-2.47
5 V 0.1624 0.8573 0.2010  2 C 2.21-2.23, 2 V 2.43-2.47
6 V 0.2238 0.3877 0.4834  4 C 2.23-2.43, 2 V 2.46-2.49
7 V 0.2762 0.1123 0.4834  4 C 2.23-2.43, 2 V 2.46-2.49
8 V 0.3376 0.6427 0.2010  2 C 2.21-2.23, 2 V 2.43-2.47
9 V 0.3573 0.8376 0.7010  2 C 2.21-2.23, 2 V 2.43-2.47
10 V 0.3877 0.2762 0.0166  4 C 2.23-2.43, 2 V 2.46-2.49
11 V 0.4311 0.5367 0.7246  3 C 2.16-2.35
12 V 0.4633 0.9311 0.2246  3 C 2.16-2.35
13 V 0.5367 0.0689 0.7754  3 C 2.16-2.35
14 V 0.5689 0.4633 0.2754  3 C 2.16-2.35
15 V 0.6123 0.7238 0.9834  4 C 2.23-2.43, 2 V 2.46-2.49
16 V 0.6427 0.1624 0.2990  2 C 2.21-2.23, 2 V 2.43-2.47
17 V 0.6624 0.3573 0.7990  2 C 2.21-2.23, 2 V 2.43-2.47
18 V 0.7238 0.8877 0.5166  4 C 2.23-2.43, 2 V 2.46-2.49
19 V 0.7762 0.6123 0.5166  4 C 2.23-2.43, 2 V 2.46-2.49
20 V 0.8376 0.1427 0.7990  2 C 2.21-2.23, 2 V 2.43-2.47
21 V 0.8573 0.3376 0.2990  2 C 2.21-2.23, 2 V 2.43-2.47
22 V 0.8877 0.7762 0.9834  4 C 2.23-2.43, 2 V 2.46-2.49
23 V 0.9311 0.0367 0.2754  3 C 2.16-2.35
24 V 0.9633 0.4311 0.7754  3 C 2.16-2.35
25 C 0.0408 0.2115 0.5394  8 V 2.16-2.35
26 C 0.2115 0.4592 0.9606  8 V 2.16-2.35
27 C 0.2885 0.0408 0.9606  8 V 2.16-2.35
28 C 0.4592 0.2885 0.5394  8 V 2.16-2.35
29 C 0.5408 0.7115 0.4606  8 V 2.16-2.35
30 C 0.7115 0.9592 0.0394  8 V 2.16-2.35
31 C 0.7885 0.5408 0.0394  8 V 2.16-2.35
32 C 0.9592 0.7885 0.4606  8 V 2.16-2.35

Record 8
First-principles (PBE-GGA) data for a relaxed VC crystal, as listed in the Alexandria database.

Computed properties:
E_tot = -9.08 eV/atom
Energy relative to the elements = 0.088 eV per atom

Lattice parameters (Å, degrees): 2.9092 5.1381 5.1381 114.30 90.00 90.00
Closest atoms and distances in Å follow each position.
Sites, in units of the cell vectors:
1 V 0.0000 0.0000 0.0000  4 C 1.96-2.12
2 V 0.5000 0.5178 0.9610  5 C 1.92-2.06
3 V 0.5000 0.9610 0.5178  5 C 1.92-2.06
4 C 0.0000 0.2297 0.7381  5 V 2.00-2.12
5 C 0.0000 0.7381 0.2297  5 V 2.00-2.12
6 C 0.5000 0.7644 0.7644  4 V 1.92-1.96

Record 9
First-principles (PBE-GGA) data for a relaxed VC crystal, as listed in the Alexandria database.

Computed properties:
E_tot = -8.94 eV/atom
Energy relative to the elements = 0.232 eV per atom

Lattice parameters (Å, degrees): 5.5237 5.5237 5.5237 90.00 90.00 90.00
Closest atoms and distances in Å follow each position.
Sites, in units of the cell vectors:
1 V 0.0000 0.2500 0.5000  4 C 1.95
2 V 0.0000 0.7500 0.5000  4 C 1.95
3 V 0.2500 0.5000 0.0000  4 C 1.95
4 V 0.5000 0.0000 0.2500  4 C 1.95
5 V 0.5000 0.0000 0.7500  4 C 1.95
6 V 0.7500 0.5000 0.0000  4 C 1.95
7 C 0.0000 0.5000 0.2500  4 V 1.95
8 C 0.0000 0.5000 0.7500  4 V 1.95
9 C 0.2500 0.0000 0.5000  4 V 1.95
10 C 0.5000 0.2500 0.0000  4 V 1.95
11 C 0.5000 0.7500 0.0000  4 V 1.95
12 C 0.7500 0.0000 0.5000  4 V 1.95

Record 10
First-principles (PBE-GGA) data for a relaxed V3C crystal, as listed in the Alexandria database.

Computed properties:
E_tot = -9.46 eV/atom
Energy relative to the elements = -0.319 eV per atom
Polymorph energy (0 for the lowest one) = 0.00 kJ/mol of atoms

Lattice parameters (Å, degrees): 4.5135 4.5135 6.8408 90.00 90.00 141.25
Closest atoms and distances in Å follow each position.
Sites, in units of the cell vectors:
1 V 0.0475 0.9525 0.7500  3 C 2.33-2.47, 4 V 2.61
2 V 0.3503 0.6497 0.5572  3 C 2.15-2.29, 2 V 2.40
3 V 0.3503 0.6497 0.9428  3 C 2.15-2.29, 2 V 2.40
4 V 0.6497 0.3503 0.0572  3 C 2.15-2.29, 2 V 2.40
5 V 0.6497 0.3503 0.4428  3 C 2.15-2.29, 2 V 2.40
6 V 0.9525 0.0475 0.2500  3 C 2.33-2.47, 4 V 2.61
7 C 0.2428 0.7572 0.2500  8 V 2.15-2.33
8 C 0.7572 0.2428 0.7500  8 V 2.15-2.33

Record 11
First-principles (PBE-GGA) data for a relaxed V2C crystal, as listed in the Alexandria database.

Computed properties:
E_tot = -9.63 eV/atom
Energy relative to the elements = -0.477 eV per atom

Lattice parameters (Å, degrees): 4.5529 5.7495 5.0336 90.00 90.00 90.00
Closest atoms and distances in Å follow each position.
Sites, in units of the cell vectors:
1 V 0.2452 0.1179 0.0769  3 C 2.01-2.04
2 V 0.2452 0.8821 0.5769  3 C 2.01-2.04
3 V 0.2548 0.3821 0.5769  3 C 2.01-2.04
4 V 0.2548 0.6179 0.0769  3 C 2.01-2.04
5 V 0.7452 0.3821 0.9231  3 C 2.01-2.04
6 V 0.7452 0.6179 0.4231  3 C 2.01-2.04
7 V 0.7548 0.1179 0.4231  3 C 2.01-2.04
8 V 0.7548 0.8821 0.9231  3 C 2.01-2.04
9 C 0.0000 0.3730 0.2500  6 V 2.01-2.04
10 C 0.0000 0.6270 0.7500  6 V 2.01-2.04
11 C 0.5000 0.1270 0.7500  6 V 2.01-2.04
12 C 0.5000 0.8730 0.2500  6 V 2.01-2.04

Record 12
First-principles (PBE-GGA) data for a relaxed VC crystal, as listed in the Alexandria database.

Computed properties:
E_tot = -9.41 eV/atom
Energy relative to the elements = -0.239 eV per atom

Lattice parameters (Å, degrees): 5.1910 5.1910 5.1910 98.64 98.64 134.39
Closest atoms and distances in Å follow each position.
Sites, in units of the cell vectors:
1 V 0.1306 0.3352 0.4658  4 C 1.92-2.02
2 V 0.3352 0.8694 0.2047  4 C 1.92-2.02
3 V 0.6648 0.1306 0.7953  4 C 1.92-2.02
4 V 0.8694 0.6648 0.5342  4 C 1.92-2.02
5 C 0.1911 0.6126 0.8038  4 V 1.92-2.02
6 C 0.3874 0.1911 0.5785  4 V 1.92-2.02
7 C 0.6126 0.8089 0.4215  4 V 1.92-2.02
8 C 0.8089 0.3874 0.1962  4 V 1.92-2.02

Record 13
First-principles (PBE-GGA) data for a relaxed V2C crystal, as listed in the Alexandria database.

Computed properties:
E_tot = -9.46 eV/atom
Energy relative to the elements = -0.302 eV per atom

Lattice parameters (Å, degrees): 4.2764 4.2764 4.2776 106.61 106.61 115.35
Closest atoms and distances in Å follow each position.
Sites, in units of the cell vectors:
1 V 0.1734 0.8266 0.0000  4 C 2.21
2 V 0.3269 0.3269 0.6533  4 C 2.21
3 V 0.6731 0.6731 0.3467  4 C 2.21
4 V 0.8266 0.1734 0.0000  4 C 2.21
5 C 0.2496 0.7504 0.5000  8 V 2.21, 2 C 2.29
6 C 0.7504 0.2496 0.5000  8 V 2.21, 2 C 2.29

Record 14
First-principles (PBE-GGA) data for a relaxed VC crystal, as listed in the Alexandria database.

Computed properties:
E_tot = -9.01 eV/atom
Energy relative to the elements = 0.164 eV per atom

Lattice parameters (Å, degrees): 3.1940 3.1940 3.1940 60.00 60.00 60.00
Closest atoms and distances in Å follow each position.
Sites, in units of the cell vectors:
1 V 0.0000 0.0000 0.0000  4 C 1.96
2 C 0.2500 0.2500 0.2500  4 V 1.96

Record 15
First-principles (PBE-GGA) data for a relaxed VC3 crystal, as listed in the Alexandria database.

Computed properties:
E_tot = -6.94 eV/atom
Energy relative to the elements = 2.257 eV per atom

Lattice parameters (Å, degrees): 3.1443 3.1443 3.1443 90.00 90.00 90.00
Closest atoms and distances in Å follow each position.
Sites, in units of the cell vectors:
1 V 0.0000 0.0000 0.0000  12 C 2.22
2 C 0.0000 0.5000 0.5000  8 C 2.22, 4 V 2.22
3 C 0.5000 0.0000 0.5000  8 C 2.22, 4 V 2.22
4 C 0.5000 0.5000 0.0000  8 C 2.22, 4 V 2.22

Record 16
First-principles (PBE-GGA) data for a relaxed VC crystal, as listed in the Alexandria database.

Computed properties:
E_tot = -9.51 eV/atom
Energy relative to the elements = -0.342 eV per atom

Lattice parameters (Å, degrees): 2.9325 2.9325 9.6753 90.00 90.00 120.00
Closest atoms and distances in Å follow each position.
Sites, in units of the cell vectors:
1 V 0.0000 0.0000 0.0000  6 C 2.07
2 V 0.0000 0.0000 0.5000  6 C 2.07
3 V 0.3333 0.6667 0.2500  6 C 2.09
4 V 0.6667 0.3333 0.7500  6 C 2.09
5 C 0.3333 0.6667 0.6233  6 V 2.07-2.09
6 C 0.3333 0.6667 0.8767  6 V 2.07-2.09
7 C 0.6667 0.3333 0.1233  6 V 2.07-2.09
8 C 0.6667 0.3333 0.3767  6 V 2.07-2.09

Record 17
First-principles (PBE-GGA) data for a relaxed VC crystal, as listed in the Alexandria database.

Computed properties:
E_tot = -8.83 eV/atom
Energy relative to the elements = 0.338 eV per atom

Lattice parameters (Å, degrees): 5.3619 5.3619 5.3619 109.47 109.47 109.47
Closest atoms and distances in Å follow each position.
Sites, in units of the cell vectors:
1 V 0.0000 0.0000 0.3147  4 C 1.95-1.97
2 V 0.0000 0.3147 0.0000  4 C 1.95-1.97
3 V 0.3147 0.0000 0.0000  4 C 1.95-1.97
4 V 0.6853 0.6853 0.6853  4 C 1.95-1.97
5 C 0.0000 0.0000 0.6779  4 V 1.95-1.97
6 C 0.0000 0.6779 0.0000  4 V 1.95-1.97
7 C 0.3221 0.3221 0.3221  4 V 1.95-1.97
8 C 0.6779 0.0000 0.0000  4 V 1.95-1.97

Record 18
First-principles (PBE-GGA) data for a relaxed VC crystal, as listed in the Alexandria database.

Computed properties:
E_tot = -9.58 eV/atom
Energy relative to the elements = -0.406 eV per atom

Lattice parameters (Å, degrees): 2.9447 2.9447 2.9447 60.00 60.00 60.00
Closest atoms and distances in Å follow each position.
Sites, in units of the cell vectors:
1 V 0.0000 0.0000 0.0000  6 C 2.08
2 C 0.5000 0.5000 0.5000  6 V 2.08

Record 19
First-principles (PBE-GGA) data for a relaxed V5C2 crystal, as listed in the Alexandria database.

Computed properties:
E_tot = -9.52 eV/atom
Energy relative to the elements = -0.371 eV per atom

Lattice parameters (Å, degrees): 6.2028 6.2028 5.3878 96.90 96.90 47.06
Closest atoms and distances in Å follow each position.
Sites, in units of the cell vectors:
1 V 0.0834 0.9166 0.7500  4 C 2.13-2.15
2 V 0.1120 0.3214 0.2992  3 C 2.18-2.23
3 V 0.3214 0.1120 0.7992  3 C 2.18-2.23
4 V 0.3231 0.4940 0.0802  2 C 2.07-2.10
5 V 0.4940 0.3231 0.5802  2 C 2.07-2.10
6 V 0.5060 0.6769 0.4198  2 C 2.07-2.10
7 V 0.6769 0.5060 0.9198  2 C 2.07-2.10
8 V 0.6786 0.8880 0.2008  3 C 2.18-2.23
9 V 0.8880 0.6786 0.7008  3 C 2.18-2.23
10 V 0.9166 0.0834 0.2500  4 C 2.13-2.15
11 C 0.1028 0.6855 0.4148  7 V 2.07-2.23
12 C 0.3145 0.8972 0.0852  7 V 2.07-2.23
13 C 0.6855 0.1028 0.9148  7 V 2.07-2.23
14 C 0.8972 0.3145 0.5852  7 V 2.07-2.23

Record 20
First-principles (PBE-GGA) data for a relaxed V3C crystal, as listed in the Alexandria database.

Computed properties:
E_tot = -8.96 eV/atom
Energy relative to the elements = 0.186 eV per atom
Polymorph energy (0 for the lowest one) = 48.72 kJ/mol of atoms

Lattice parameters (Å, degrees): 2.6390 2.6610 6.9456 90.00 90.00 90.00
Closest atoms and distances in Å follow each position.
Sites, in units of the cell vectors:
1 V 0.0000 0.0000 0.0000  10 V 2.64-2.82
2 V 0.0000 0.5000 0.3574  4 C 2.07
3 V 0.5000 0.5000 0.7057  2 C 2.03
4 C 0.5000 0.0000 0.4856  6 V 2.03-2.07